No. 1
Computed, not measured: CaAuN2F after structural relaxation at the GGA-PBE level of DFT.

Values from the calculation:
E_tot: -4.5880 eV per atom
Spin magnetization: 2.20 μB/f.u.

abc: 3.951 3.951 5.071
angles: 90.00 90.00 90.00
Space group P4/mmm (No. 123)
Symmetry-distinct sites (fractional):
Ca 0.000 0.000 0.000 [1 per cell]
Au 0.500 0.500 0.500 [1 per cell]
N 0.000 0.500 0.500 [2 per cell]
F 0.500 0.500 0.000 [1 per cell]



No. 2
Computed, not measured: CaAuNF2 after structural relaxation at the GGA-PBE level of DFT.

Values from the calculation:
E_tot: -3.5446 eV per atom
Spin magnetization: 0.00 μB/f.u.

abc: 4.143 4.143 4.697
angles: 90.00 90.00 90.00
Space group P4/mmm (No. 123)
Symmetry-distinct sites (fractional):
Ca 0.000 0.000 0.000 [1 per cell]
Au 0.500 0.500 0.000 [1 per cell]
N 0.000 0.000 0.500 [1 per cell]
F 0.000 0.500 0.500 [2 per cell]



No. 3
Computed, not measured: CaAuNF2 after structural relaxation at the GGA-PBE level of DFT.

Values from the calculation:
E_tot: -4.2879 eV per atom
Spin magnetization: 0.00 μB/f.u.

abc: 4.685 4.685 3.842
angles: 90.00 90.00 90.00
Space group P4/mmm (No. 123)
Symmetry-distinct sites (fractional):
Ca 0.000 0.000 0.000 [1 per cell]
Au 0.500 0.500 0.500 [1 per cell]
N 0.500 0.500 0.000 [1 per cell]
F 0.000 0.500 0.500 [2 per cell]



No. 4
Computed, not measured: CaAuNF2 after structural relaxation at the GGA-PBE level of DFT.

Values from the calculation:
E_tot: -4.2589 eV per atom
Spin magnetization: 2.01 μB/f.u.

abc: 4.207 4.207 5.468
angles: 90.00 90.00 90.00
Space group P4/mmm (No. 123)
Symmetry-distinct sites (fractional):
Ca 0.000 0.000 0.000 [1 per cell]
Au 0.500 0.500 0.500 [1 per cell]
N 0.000 0.000 0.500 [1 per cell]
F 0.000 0.500 0.000 [2 per cell]



No. 5
Computed, not measured: CaAuN2F after structural relaxation at the GGA-PBE level of DFT.

Values from the calculation:
E_tot: -4.0441 eV per atom
Spin magnetization: 4.01 μB/f.u.

abc: 4.770 4.770 4.204
angles: 90.00 90.00 90.00
Space group P4/mmm (No. 123)
Symmetry-distinct sites (fractional):
Ca 0.000 0.000 0.000 [1 per cell]
Au 0.500 0.500 0.500 [1 per cell]
N 0.000 0.500 0.000 [2 per cell]
F 0.000 0.000 0.500 [1 per cell]



No. 6
Computed, not measured: CaTlAuSeNF after structural relaxation at the GGA-PBE level of DFT.

Values from the calculation:
E_tot: -4.4178 eV per atom
Spin magnetization: 0.00 μB/f.u.

abc: 3.865 5.724 6.842
angles: 111.40 91.16 95.25
Space group P1 (No. 1)
Symmetry-distinct sites (fractional):
Ca 0.000 0.000 0.000 [1 per cell]
Tl 0.527 0.712 0.371 [1 per cell]
Au 0.166 0.193 0.506 [1 per cell]
Se 0.424 0.614 0.725 [1 per cell]
N 0.028 0.839 0.275 [1 per cell]
F 0.530 0.212 0.068 [1 per cell]



No. 7
Computed, not measured: CaTlAuSeNF after structural relaxation at the GGA-PBE level of DFT.

Values from the calculation:
E_tot: -4.3985 eV per atom
Spin magnetization: 0.00 μB/f.u.

abc: 3.357 6.138 7.130
angles: 69.20 79.26 89.80
Space group P1 (No. 1)
Symmetry-distinct sites (fractional):
Ca 0.000 0.000 0.000 [1 per cell]
Tl 0.279 0.332 0.319 [1 per cell]
Au 0.067 0.536 0.841 [1 per cell]
Se 0.632 0.848 0.674 [1 per cell]
N 0.518 0.304 0.973 [1 per cell]
F 0.430 0.779 0.182 [1 per cell]



No. 8
Computed, not measured: CaTlAuSeNF after structural relaxation at the GGA-PBE level of DFT.

Values from the calculation:
E_tot: -4.4063 eV per atom
Spin magnetization: 0.00 μB/f.u.

abc: 3.424 6.340 6.738
angles: 117.19 104.68 90.04
Space group P1 (No. 1)
Symmetry-distinct sites (fractional):
Ca 0.000 0.000 0.000 [1 per cell]
Tl 0.667 0.711 0.347 [1 per cell]
Au 0.265 0.249 0.531 [1 per cell]
Se 0.922 0.427 0.845 [1 per cell]
N 0.648 0.097 0.295 [1 per cell]
F 0.374 0.883 0.749 [1 per cell]



No. 9
Computed, not measured: CaTlAuSeNF after structural relaxation at the GGA-PBE level of DFT.

Values from the calculation:
E_tot: -4.3951 eV per atom
Spin magnetization: 0.00 μB/f.u.

abc: 4.916 4.023 7.309
angles: 90.00 99.88 90.00
Space group Pm (No. 6)
Symmetry-distinct sites (fractional):
Ca 0.000 0.000 0.000 [1 per cell]
Tl 0.458 0.500 0.542 [1 per cell]
Au 0.490 0.500 0.127 [1 per cell]
Se 0.838 0.000 0.383 [1 per cell]
N 0.583 0.000 0.135 [1 per cell]
F 0.922 0.500 0.859 [1 per cell]



No. 10
Computed, not measured: CaTlAuSeNF after structural relaxation at the GGA-PBE level of DFT.

Values from the calculation:
E_tot: -4.3876 eV per atom
Spin magnetization: 0.00 μB/f.u.

abc: 3.552 6.226 7.696
angles: 72.39 88.04 73.77
Space group P1 (No. 1)
Symmetry-distinct sites (fractional):
Ca 0.000 0.000 0.000 [1 per cell]
Tl 0.037 0.838 0.548 [1 per cell]
Au 0.305 0.337 0.257 [1 per cell]
Se 0.663 0.625 0.272 [1 per cell]
N 0.908 0.126 0.255 [1 per cell]
F 0.468 0.090 0.831 [1 per cell]



No. 11
Computed, not measured: CaTlAuSeNF after structural relaxation at the GGA-PBE level of DFT.

Values from the calculation:
E_tot: -4.3824 eV per atom
Spin magnetization: 0.00 μB/f.u.

abc: 12.343 3.612 6.970
angles: 90.00 114.62 90.00
Space group Cm (No. 8)
Symmetry-distinct sites (fractional):
Ca 0.000 0.000 0.000 [2 per cell]
Tl 0.297 0.000 0.317 [2 per cell]
Au 0.113 0.500 0.435 [2 per cell]
Se 0.004 0.500 0.656 [2 per cell]
N 0.174 0.500 0.198 [2 per cell]
F 0.393 0.000 0.011 [2 per cell]



Number 1: polymorph energy (0 for the lowest one) 0.000 eV per atom, formation energy without anion corrections 0.1722 eV/atom. Number 2: polymorph energy (0 for the lowest one) 0.743 eV per atom, formation energy without anion corrections -0.0752 eV/atom. Number 3: polymorph energy (0 for the lowest one) 0.000 eV per atom, formation energy without anion corrections -0.8185 eV/atom. Number 4: polymorph energy (0 for the lowest one) 0.029 eV per atom, formation energy without anion corrections -0.7895 eV/atom. Number 5: polymorph energy (0 for the lowest one) 0.544 eV per atom, formation energy without anion corrections 0.7161 eV/atom. Number 6: polymorph energy (0 for the lowest one) 0.022 eV per atom, formation energy without anion corrections -0.8634 eV/atom. Number 7: polymorph energy (0 for the lowest one) 0.041 eV per atom, formation energy without anion corrections -0.8441 eV/atom. Number 8: polymorph energy (0 for the lowest one) 0.033 eV per atom, formation energy without anion corrections -0.8519 eV/atom. Number 9: polymorph energy (0 for the lowest one) 0.044 eV per atom, formation energy without anion corrections -0.8407 eV/atom. Number 10: polymorph energy (0 for the lowest one) 0.052 eV per atom, formation energy without anion corrections -0.8332 eV/atom. Number 11: polymorph energy (0 for the lowest one) 0.057 eV per atom, formation energy without anion corrections -0.8280 eV/atom.